The following is a DFT calculation (PBE with a Hubbard U) of NiOF3 after structural relaxation.

Computed properties:
energy relative to the lowest polymorph listed for this composition	0.0000	eV/atom
ρ	3.70	g/cm³
total DFT energy (no corrections)	-3.894	eV per atom

extended XYZ file:
```
10
Lattice="-0.039 -0.920 -2.928 -3.188 -6.120 1.965 -5.286 1.806 1.111" Properties=species:S:1:pos:R:3 pbc="T T T"
Ni -4.936 -4.494 1.477
Ni -3.577 -0.740 -1.329
O -6.999 -2.262 0.803
O -1.514 -2.972 -0.655
F -3.016 -4.213 1.364
F -5.496 -1.021 -1.216
F -1.649 -0.115 -1.551
F -6.864 -5.119 1.699
F -5.296 -3.775 -0.353
F -3.217 -1.459 0.501
```